#i
Computed, not measured: crystalline AgI2O at its relaxed geometry at the GGA-PBE level of DFT.

Properties
The value obtained for the mass density is 5.452 g/cm³. The spin magnetization comes out at 0.00 μB per cell.

Cell: 7.9298 7.9298 7.9298 Å, 136.89 136.89 62.61°
Last column: nearest neighbours and their distance in Å.
Fractional positions:
Ag  0.0000  0.0000  0.0000  4 I 2.96
Ag  0.7500  0.2500  0.5000  4 I 2.96
I  0.2088  0.6250  0.0838  2 O 2.44
I  0.3750  0.4588  0.5838  2 O 2.44
I  0.5412  0.1250  0.9162  2 O 2.44
I  0.8750  0.7912  0.4162  2 O 2.44
O  0.2500  0.7500  0.5000  4 I 2.44
O  0.5000  0.5000  0.0000  4 I 2.44


#ii
Computed, not measured: crystalline AgI2O at its relaxed geometry at the GGA-PBE level of DFT.

Properties
The value obtained for the mass density is 7.172 g/cm³. The spin magnetization comes out at 0.00 μB per cell.

Cell: 4.9821 4.9821 4.9821 Å, 60.00 60.00 60.00°
Last column: nearest neighbours and their distance in Å.
Fractional positions:
Ag  0.0000  0.0000  0.0000  8 I 3.05
I  0.2500  0.2500  0.2500  4 O 3.05, 4 Ag 3.05
I  0.7500  0.7500  0.7500  4 O 3.05, 4 Ag 3.05
O  0.5000  0.5000  0.5000  8 I 3.05


#i has the most favorable energy; the next structure is 43.3 kJ/mol of atoms above.


#i
Computed, not measured: crystalline AgI2O2 at its relaxed geometry at the GGA-PBE level of DFT.

Properties
The value obtained for the mass density is 5.288 g/cm³. The spin magnetization comes out at 0.00 μB per cell.

Cell: 5.5953 5.5953 3.9484 Å, 90.00 90.00 90.00°
Last column: nearest neighbours and their distance in Å.
Fractional positions:
Ag  0.0000  0.0000  0.0000  2 O 1.97
I  0.0000  0.5000  0.0000  2 Ag 2.80
I  0.5000  0.0000  0.0000  2 Ag 2.80
O  0.0000  0.0000  0.5000  2 Ag 1.97
O  0.5000  0.5000  0.5000  8 I 3.42


#ii
Computed, not measured: crystalline AgI2O2 at its relaxed geometry at the GGA-PBE level of DFT.

Properties
The value obtained for the mass density is 6.573 g/cm³. The spin magnetization comes out at 0.68 μB per cell.

Cell: 4.9281 4.9281 4.0954 Å, 90.00 90.00 90.00°
Last column: nearest neighbours and their distance in Å.
Fractional positions:
Ag  0.0000  0.0000  0.0000  8 I 3.20, 4 O 3.48
I  0.0000  0.5000  0.5000  2 O 2.46
I  0.5000  0.0000  0.5000  2 O 2.46
O  0.5000  0.5000  0.0000  2 O 2.05
O  0.5000  0.5000  0.5000  2 O 2.05


#ii has the most favorable energy; the next structure is 28.9 kJ/mol of atoms above.


#i
Computed, not measured: crystalline AgI2O2 at its relaxed geometry at the GGA-PBE level of DFT.

Properties
The value obtained for the mass density is 4.987 g/cm³. The spin magnetization comes out at 1.90 μB per cell.

Cell: 4.2840 4.2840 7.1423 Å, 90.00 90.00 90.00°
Last column: nearest neighbours and their distance in Å.
Fractional positions:
Ag  0.0000  0.0000  0.0000  4 O 2.14
I  0.0000  0.0000  0.5000  4 I 3.03
I  0.5000  0.5000  0.5000  4 I 3.03
O  0.0000  0.5000  0.0000  2 Ag 2.14
O  0.5000  0.0000  0.0000  2 Ag 2.14


#ii
Computed, not measured: crystalline AgI2O2 at its relaxed geometry at the GGA-PBE level of DFT.

Properties
The value obtained for the mass density is 4.546 g/cm³. The spin magnetization comes out at 0.00 μB per cell.

Cell: 4.0889 4.0889 8.6015 Å, 90.00 90.00 90.00°
Last column: nearest neighbours and their distance in Å.
Fractional positions:
Ag  0.0000  0.0000  0.0000  4 I 2.89
I  0.5000  0.5000  0.0000  4 Ag 2.89
I  0.5000  0.5000  0.5000  4 O 2.04
O  0.0000  0.5000  0.5000  2 I 2.04
O  0.5000  0.0000  0.5000  2 I 2.04


#ii has the most favorable energy; the next structure is 57.6 kJ/mol of atoms above.


#i
Computed, not measured: crystalline AgI2O6 at its relaxed geometry at the GGA-PBE level of DFT.

Properties
The value obtained for the mass density is 5.189 g/cm³. The spin magnetization comes out at 0.00 μB per cell.

Cell: 5.5338 5.5338 7.6464 Å, 110.93 110.93 42.63°
Last column: nearest neighbours and their distance in Å.
Fractional positions:
Ag  0.0000  0.0000  0.0000  2 O 2.20
I  0.1905  0.1905  0.6749  2 O 1.83-1.84
I  0.8095  0.8095  0.3251  2 O 1.83-1.84
O  0.0327  0.0327  0.7324  1 I 1.84
O  0.2993  0.2993  0.3705  2 I 2.05
O  0.3381  0.3381  0.9039  1 I 1.83
O  0.6619  0.6619  0.0961  1 I 1.83
O  0.7007  0.7007  0.6295  2 I 2.05
O  0.9673  0.9673  0.2676  1 I 1.84


#ii
Computed, not measured: crystalline AgI2O6 at its relaxed geometry at the GGA-PBE level of DFT.

Properties
The value obtained for the mass density is 4.401 g/cm³. The spin magnetization comes out at 2.06 μB per cell.

Cell: 7.6538 7.6538 8.5837 Å, 124.02 124.02 72.60°
Last column: nearest neighbours and their distance in Å.
Fractional positions:
Ag  0.1507  0.8493  0.7500  4 O 2.15-2.23
Ag  0.8493  0.1507  0.2500  4 O 2.15-2.23
I  0.0263  0.5081  0.2252  3 O 1.82-1.87
I  0.4919  0.9737  0.2748  3 O 1.82-1.87
I  0.5081  0.0263  0.7252  3 O 1.82-1.87
I  0.9737  0.4919  0.7748  3 O 1.82-1.87
O  0.0733  0.3528  0.5801  1 I 1.86
O  0.1145  0.7461  0.9281  1 I 1.87
O  0.1566  0.3797  0.9489  1 I 1.82
O  0.2539  0.8855  0.5719  1 I 1.87
O  0.3528  0.0733  0.0801  1 I 1.86
O  0.3797  0.1566  0.4489  1 I 1.82
O  0.6203  0.8434  0.5511  1 I 1.82
O  0.6472  0.9267  0.9199  1 I 1.86
O  0.7461  0.1145  0.4281  1 I 1.87
O  0.8434  0.6203  0.0511  1 I 1.82
O  0.8855  0.2539  0.0719  1 I 1.87
O  0.9267  0.6472  0.4199  1 I 1.86


#ii has the most favorable energy; the next structure is 2.7 kJ/mol of atoms above.